[1]
Computed, not measured: a relaxed LiLaCdO3 crystal at the PBE level of DFT.

Final energy (eV per atom): -5.798

Cell lengths 5.314, 5.314, 9.368 Å; angles 90.00, 90.00, 37.74 degrees
Fractional positions:
Cd: 0.243 0.243 0.250
Cd: 0.757 0.757 0.750
La: 0.000 0.000 0.000
La: 0.000 0.000 0.500
Li: 0.516 0.516 0.250
Li: 0.484 0.484 0.750
O: 0.634 0.634 0.097
O: 0.914 0.914 0.250
O: 0.634 0.634 0.403
O: 0.366 0.366 0.597
O: 0.086 0.086 0.750
O: 0.366 0.366 0.903


[2]
Computed, not measured: a relaxed LiNiAuS3 crystal at the PBE level of DFT.

Final energy (eV per atom): -4.141

Cell lengths 3.269, 6.849, 9.444 Å; angles 90.00, 90.00, 76.19 degrees
Fractional positions:
Au: 0.650 0.700 0.250
Au: 0.350 0.300 0.750
Li: 0.314 0.371 0.250
Li: 0.686 0.629 0.750
Ni: 0.000 0.000 0.000
Ni: 0.000 0.000 0.500
S: 0.618 0.763 0.008
S: 0.953 0.093 0.250
S: 0.618 0.763 0.492
S: 0.382 0.237 0.508
S: 0.047 0.907 0.750
S: 0.382 0.237 0.992


[3]
Computed, not measured: a relaxed Mo3C2S crystal at the PBE level of DFT.

Final energy (eV per atom): -9.173

Cell lengths 3.130, 3.130, 17.063 Å; angles 90.00, 90.00, 120.00 degrees
Fractional positions:
C: 0.333 0.667 0.075
C: 0.333 0.667 0.425
C: 0.667 0.333 0.575
C: 0.667 0.333 0.925
Mo: 0.000 0.000 0.000
Mo: 0.667 0.333 0.140
Mo: 0.667 0.333 0.360
Mo: 0.000 0.000 0.500
Mo: 0.333 0.667 0.640
Mo: 0.333 0.667 0.860
S: 0.000 0.000 0.250
S: 0.000 0.000 0.750


[4]
Computed, not measured: a relaxed NbSiNiPt crystal at the PBE level of DFT.

ΔE to the lowest computed polymorph (meV per atom): 0
Final energy (eV per atom): -7.141

Cell lengths 4.343, 4.343, 4.343 Å; angles 60.00, 60.00, 60.00 degrees
Fractional positions:
Nb: 0.250 0.250 0.250
Ni: 0.750 0.750 0.750
Pt: 0.500 0.500 0.500
Si: 0.000 0.000 0.000


[5]
Computed, not measured: a relaxed HfBe2Ni2 crystal at the PBE level of DFT.

ΔE to the lowest computed polymorph (meV per atom): 89
Final energy (eV per atom): -6.017

Cell lengths 5.176, 5.176, 5.176 Å; angles 138.73, 138.73, 59.79 degrees
Fractional positions:
Be: 0.750 0.250 0.500
Be: 0.250 0.750 0.500
Hf: 0.000 0.000 0.000
Ni: 0.373 0.373 0.000
Ni: 0.627 0.627 0.000


[6]
Computed, not measured: a relaxed MgScFeBi crystal at the PBE level of DFT.

ΔE to the lowest computed polymorph (meV per atom): 0
Final energy (eV per atom): -4.972

Cell lengths 4.882, 4.882, 4.882 Å; angles 60.00, 60.00, 60.00 degrees
Site moments in Bohr magnetons follow the coordinates.
Fractional positions:
Bi: 0.000 0.000 0.000  0.02
Fe: 0.500 0.500 0.500  2.29
Mg: 0.250 0.250 0.250  -0.01
Sc: 0.750 0.750 0.750  -0.32


[7]
Computed, not measured: a relaxed Nd2Ge5Ir3 crystal at the PBE level of DFT.

Final energy (eV per atom): -6.666

Cell lengths 8.469, 8.469, 8.469 Å; angles 105.08, 89.95, 137.79 degrees
Fractional positions:
Ge: 0.902 0.161 0.063
Ge: 0.474 0.250 0.224
Ge: 0.974 0.750 0.224
Ge: 0.598 0.661 0.260
Ge: 0.750 0.250 0.500
Ge: 0.250 0.750 0.500
Ge: 0.402 0.339 0.740
Ge: 0.026 0.250 0.776
Ge: 0.526 0.750 0.776
Ge: 0.098 0.839 0.937
Ir: 0.250 0.250 0.000
Ir: 0.750 0.750 0.000
Ir: 0.858 0.390 0.249
Ir: 0.358 0.110 0.468
Ir: 0.642 0.890 0.532
Ir: 0.142 0.610 0.751
Nd: 0.366 0.773 0.139
Nd: 0.134 0.273 0.406
Nd: 0.866 0.727 0.594
Nd: 0.634 0.227 0.861


[8]
Computed, not measured: a relaxed NbPPbO crystal at the PBE level of DFT.

ΔE to the lowest computed polymorph (meV per atom): 247
Final energy (eV per atom): -6.646

Cell lengths 4.309, 4.309, 9.595 Å; angles 90.00, 90.00, 90.00 degrees
Fractional positions:
Nb: 0.000 0.500 0.030
Nb: 0.500 0.000 0.970
O: 0.000 0.000 0.000
O: 0.500 0.500 0.000
P: 0.000 0.500 0.264
P: 0.500 0.000 0.736
Pb: 0.000 0.000 0.500
Pb: 0.500 0.500 0.500


[9]
Computed, not measured: a relaxed Sr2TmReO6 crystal at the PBE level of DFT.

ΔE to the lowest computed polymorph (meV per atom): 250
Final energy (eV per atom): -7.401

Cell lengths 6.157, 6.157, 5.568 Å; angles 109.40, 109.40, 53.90 degrees
Site moments in Bohr magnetons follow the coordinates.
Fractional positions:
O: 0.681 0.174 0.162  0.05
O: 0.174 0.681 0.162  0.06
O: 0.159 0.159 0.343  0.05
O: 0.841 0.841 0.657  0.05
O: 0.826 0.319 0.838  0.06
O: 0.319 0.826 0.838  0.05
Re: 0.000 0.000 0.000  1.29
Sr: 0.657 0.657 0.236  0.01
Sr: 0.343 0.343 0.764  0.01
Tm: 0.000 0.000 0.500  0.09


[10]
Computed, not measured: a relaxed YMgAsOs crystal at the PBE level of DFT.

ΔE to the lowest computed polymorph (meV per atom): 14
Final energy (eV per atom): -6.047

Cell lengths 4.762, 4.762, 4.762 Å; angles 60.00, 60.00, 60.00 degrees
Fractional positions:
As: 0.500 0.500 0.500
Mg: 0.750 0.750 0.750
Os: 0.000 0.000 0.000
Y: 0.250 0.250 0.250


[11]
Computed, not measured: a relaxed Nd2SmNi6Pt3 crystal at the PBE level of DFT.

Formation enthalpy at 0 K (eV per atom): -0.560
Final energy (eV per atom): -6.044

Cell lengths 9.046, 9.046, 9.046 Å; angles 33.01, 33.01, 33.01 degrees
Site moments in Bohr magnetons follow the coordinates.
Fractional positions:
Nd: 0.138 0.138 0.138  0.02
Nd: 0.862 0.862 0.862  0.02
Ni: 0.584 0.584 0.080  -0.15
Ni: 0.920 0.416 0.416  -0.13
Ni: 0.416 0.920 0.416  -0.17
Ni: 0.584 0.080 0.584  -0.17
Ni: 0.080 0.584 0.584  -0.13
Ni: 0.416 0.416 0.920  -0.15
Pt: 0.333 0.333 0.333  -0.05
Pt: 0.500 0.500 0.500  -0.03
Pt: 0.667 0.667 0.667  -0.05
Sm: 0.000 0.000 0.000  0.01


[12]
Computed, not measured: a relaxed LuReNi crystal at the PBE level of DFT.

ΔE to the lowest computed polymorph (meV per atom): 491
Formation enthalpy at 0 K (eV per atom): 1.320
Final energy (eV per atom): -6.185

Cell lengths 4.398, 4.398, 4.398 Å; angles 60.00, 60.00, 60.00 degrees
Fractional positions:
Lu: 0.000 0.000 0.000
Ni: 0.250 0.250 0.250
Re: 0.750 0.750 0.750


[13]
Computed, not measured: a relaxed Li2ZrCdIn2Pt2 crystal at the PBE level of DFT.

Final energy (eV per atom): -4.457

Cell lengths 4.621, 4.621, 6.644 Å; angles 90.00, 90.00, 90.00 degrees
Fractional positions:
Cd: 0.000 0.000 0.000
In: 0.500 0.500 0.000
In: 0.000 0.000 0.500
Li: 0.500 0.000 0.227
Li: 0.000 0.500 0.773
Pt: 0.000 0.500 0.268
Pt: 0.500 0.000 0.732
Zr: 0.500 0.500 0.500


[14]
Computed, not measured: a relaxed TaCd2N crystal at the PBE level of DFT.

Final energy (eV per atom): -4.724

Cell lengths 3.086, 3.086, 15.919 Å; angles 90.00, 90.00, 120.00 degrees
Fractional positions:
Cd: 0.333 0.667 0.094
Cd: 0.333 0.667 0.406
Cd: 0.667 0.333 0.594
Cd: 0.667 0.333 0.906
N: 0.000 0.000 0.000
N: 0.000 0.000 0.500
Ta: 0.667 0.333 0.250
Ta: 0.333 0.667 0.750


[15]
Computed, not measured: a relaxed HoBi crystal at the PBE level of DFT.

Final energy (eV per atom): -5.165

Cell lengths 4.447, 4.447, 4.447 Å; angles 60.00, 60.00, 60.00 degrees
Fractional positions:
Bi: 0.000 0.000 0.000
Ho: 0.500 0.500 0.500


[16]
Computed, not measured: a relaxed GdYPu crystal at the PBE level of DFT.

ΔE to the lowest computed polymorph (meV per atom): 0
Formation enthalpy at 0 K (eV per atom): 0.876
Final energy (eV per atom): -7.539

Cell lengths 5.267, 5.267, 5.267 Å; angles 60.00, 60.00, 60.00 degrees
Site moments in Bohr magnetons follow the coordinates.
Fractional positions:
Gd: 0.500 0.500 0.500  0.29
Pu: 0.000 0.000 0.000  5.56
Y: 0.250 0.250 0.250  0.36


[17]
Computed, not measured: a relaxed TlFe3Ge5 crystal at the PBE level of DFT.

Final energy (eV per atom): -5.572

Cell lengths 4.878, 4.878, 7.968 Å; angles 90.00, 90.00, 120.00 degrees
Site moments in Bohr magnetons follow the coordinates.
Fractional positions:
Fe: 0.500 0.000 0.500  1.68
Fe: 0.000 0.500 0.500  1.53
Fe: 0.500 0.500 0.500  1.75
Ge: 0.667 0.333 0.234  -0.04
Ge: 0.333 0.667 0.234  -0.04
Ge: 0.000 0.000 0.500  -0.09
Ge: 0.667 0.333 0.766  -0.04
Ge: 0.333 0.667 0.766  -0.04
Tl: 0.000 0.000 0.000  0.03


[18]
Computed, not measured: a relaxed SrSbAsPt2 crystal at the PBE level of DFT.

Final energy (eV per atom): -5.315

Cell lengths 4.623, 4.623, 10.297 Å; angles 90.00, 90.00, 90.00 degrees
Fractional positions:
As: 0.000 0.000 0.500
As: 0.500 0.500 0.500
Pt: 0.000 0.000 0.000
Pt: 0.500 0.500 0.000
Pt: 0.500 0.000 0.393
Pt: 0.000 0.500 0.607
Sb: 0.500 0.000 0.135
Sb: 0.000 0.500 0.865
Sr: 0.000 0.500 0.260
Sr: 0.500 0.000 0.740


[19]
Computed, not measured: a relaxed NiB2W2 crystal at the PBE level of DFT.

Final energy (eV per atom): -9.285

Cell lengths 5.580, 5.580, 3.202 Å; angles 90.00, 90.00, 148.01 degrees
Fractional positions:
B: 0.797 0.203 0.000
B: 0.203 0.797 0.000
Ni: 0.000 0.000 0.000
W: 0.636 0.364 0.500
W: 0.364 0.636 0.500